This record from Alexandria via LeMat-Bulk describes an optimized crystal structure of Cu2NiIr. The functional is PBE-GGA.

CIF file:
```
data_Cu2NiIr
_chemical_formula_sum 'Cu4 Ni2 Ir2'
_space_group_name_H-M_alt 'C 1 2/m 1'
_space_group_IT_number 12
_cell_length_a 5.107
_cell_length_b 8.769
_cell_length_c 2.545
_cell_angle_alpha 90.00
_cell_angle_beta 117.48
_cell_angle_gamma 90.00
loop_
_space_group_symop_operation_xyz
'x,y,z'
'-x,-y,-z'
'-x,y,-z'
'x,-y,z'
'x+1/2,y+1/2,z'
'-x+1/2,-y+1/2,-z'
'-x+1/2,y+1/2,-z'
'x+1/2,-y+1/2,z'
loop_
_atom_site_label
_atom_site_fract_x
_atom_site_fract_y
_atom_site_fract_z
_atom_site_occupancy
Cu1 0.250 0.250 0.000 1
Ni1 0.000 0.000 0.500 1
Ir1 0.000 0.500 0.500 1
```

Volume = 50.6 Å³/f.u.
Offset from the most stable computed form = 75 meV/atom
Total magnetization = 0.561 Bohr magnetons per cell



This record from Alexandria via LeMat-Bulk describes an optimized crystal structure of Nd2CoSi3Ni12. The functional is PBE-GGA.

CIF file:
```
data_Nd2CoSi3Ni12
_chemical_formula_sum 'Nd6 Co3 Si9 Ni36'
_space_group_name_H-M_alt 'R -3 m'
_space_group_IT_number 166
_space_group_name_Hall '-R 3 2"'
_cell_length_a 6.1024
_cell_length_b 6.1024
_cell_length_c 24.5019
_cell_angle_alpha 90.00
_cell_angle_beta 90.00
_cell_angle_gamma 120.00
loop_
_atom_site_label
_atom_site_fract_x
_atom_site_fract_y
_atom_site_fract_z
_atom_site_occupancy
Nd1 0.0000 0.0000 0.1527 1
Co1 0.0000 0.0000 0.5000 1
Si1 0.0000 0.5000 0.0000 1
Ni1 0.0581 0.5290 0.0939 1
Ni2 0.0650 0.5325 0.6223 1
```

Volume = 263.4 Å³/f.u.
Uncorrected formation energy = -0.06 eV/atom
Total magnetization = 8.637 Bohr magnetons per cell



This record from Alexandria via LeMat-Bulk describes an optimized crystal structure of GaAgP2. The functional is PBE-GGA.

CIF file:
```
data_GaAgP2
_chemical_formula_sum 'Ga4 Ag4 P8'
_space_group_name_H-M_alt 'I -4 2 d'
_space_group_IT_number 122
_space_group_name_Hall 'I -4 2bw'
_cell_length_a 5.696
_cell_length_b 5.696
_cell_length_c 10.665
_cell_angle_alpha 90.00
_cell_angle_beta 90.00
_cell_angle_gamma 90.00
loop_
_atom_site_label
_atom_site_fract_x
_atom_site_fract_y
_atom_site_fract_z
_atom_site_occupancy
Ga1 0.000 0.000 0.000 1
Ag1 0.000 0.000 0.500 1
P1 0.237 0.250 0.125 1
```

Volume = 86.5 Å³/f.u.
Total magnetization = 0.000 Bohr magnetons per cell
Total energy = -4.037 eV per atom



This record from Alexandria via LeMat-Bulk describes an optimized crystal structure of YAl2Fe2Ge. The functional is PBE-GGA.

CIF file:
```
data_YAl2Fe2Ge
_chemical_formula_sum 'Y1 Al2 Fe2 Ge1'
_space_group_name_H-M_alt 'P 4/m m m'
_space_group_IT_number 123
_space_group_name_Hall '-P 4 2'
_cell_length_a 4.385
_cell_length_b 4.385
_cell_length_c 5.572
_cell_angle_alpha 90.00
_cell_angle_beta 90.00
_cell_angle_gamma 90.00
loop_
_atom_site_label
_atom_site_fract_x
_atom_site_fract_y
_atom_site_fract_z
_atom_site_occupancy
Y1 0.000 0.000 0.000 1
Al1 0.500 0.500 0.247 1
Fe1 0.000 0.500 0.500 1
Ge1 0.000 0.000 0.500 1
```

Volume = 107.1 Å³/f.u.
Total magnetization = 2.905 Bohr magnetons per cell
Total energy = -6.055 eV per atom